Entry 1:
Compound: Sr2AlInAu
Source: Alexandria
Functional: PBE-GGA
Structure: optimized geometry

The structure in CIF format:
```
data_Sr2AlInAu
_chemical_formula_sum 'Sr2 Al1 In1 Au1'
_symmetry_space_group_name_H-M 'P 1'
_symmetry_Int_Tables_number 1
_cell_length_a 6.176
_cell_length_b 4.700
_cell_length_c 6.176
_cell_angle_alpha 90.00
_cell_angle_beta 90.00
_cell_angle_gamma 90.00
loop_
_symmetry_equiv_pos_as_xyz
'x,y,z'
loop_
_atom_site_label
_atom_site_fract_x
_atom_site_fract_y
_atom_site_fract_z
Au1 0.000 0.500 0.000
In1 0.500 0.500 0.500
Sr1 0.000 0.000 0.500
Sr2 0.500 0.000 0.000
Al1 0.000 0.000 0.000
```

## Properties
Symmetry: No. 123
Calculated formation energy (meV/atom): -85


Entry 2:
Compound: Pr2RhF
Source: Alexandria
Functional: PBE-GGA
Structure: optimized geometry

The structure in CIF format:
```
data_Pr2RhF
_chemical_formula_sum 'Pr2 Rh1 F1'
_symmetry_space_group_name_H-M 'P 1'
_symmetry_Int_Tables_number 1
_cell_length_a 4.249
_cell_length_b 4.249
_cell_length_c 8.077
_cell_angle_alpha 74.75
_cell_angle_beta 74.75
_cell_angle_gamma 60.00
loop_
_symmetry_equiv_pos_as_xyz
'x,y,z'
loop_
_atom_site_label
_atom_site_fract_x
_atom_site_fract_y
_atom_site_fract_z
Rh1 0.500 0.500 0.500
Pr1 0.899 0.899 0.303
Pr2 0.101 0.101 0.697
F1 0.000 0.000 0.000
```

## Properties
Symmetry: No. 166
Raw formation energy (eV/atom): -1.63
Distance to the lowest polymorph of the same formula (eV/atom): 0.000


Entry 3:
Compound: Ce6Os2PtBr3
Source: Alexandria
Functional: PBE-GGA
Structure: optimized geometry

The structure in CIF format:
```
data_Ce6Os2PtBr3
_chemical_formula_sum 'Ce6 Os2 Pt1 Br3'
_symmetry_space_group_name_H-M 'P 1'
_symmetry_Int_Tables_number 1
_cell_length_a 7.116
_cell_length_b 7.116
_cell_length_c 7.997
_cell_angle_alpha 98.52
_cell_angle_beta 98.52
_cell_angle_gamma 120.00
loop_
_symmetry_equiv_pos_as_xyz
'x,y,z'
loop_
_atom_site_label
_atom_site_fract_x
_atom_site_fract_y
_atom_site_fract_z
Br1 0.834 0.166 0.500
Br2 0.166 0.834 0.500
Br3 0.500 0.500 0.500
Ce1 0.278 0.278 0.802
Ce2 0.590 0.934 0.802
Ce3 0.066 0.410 0.198
Ce4 0.722 0.722 0.198
Ce5 0.410 0.066 0.198
Ce6 0.934 0.590 0.802
Os1 0.333 0.667 0.000
Os2 0.667 0.333 0.000
Pt1 0.000 0.000 0.000
```

## Properties
Symmetry: No. 12
Raw formation energy (eV/atom): -0.89


Entry 4:
Compound: HOsSe2
Source: Alexandria
Functional: PBE-GGA
Structure: optimized geometry

The structure in CIF format:
```
data_HOsSe2
_chemical_formula_sum 'H2 Os2 Se4'
_symmetry_space_group_name_H-M 'P 1'
_symmetry_Int_Tables_number 1
_cell_length_a 5.297
_cell_length_b 5.297
_cell_length_c 6.193
_cell_angle_alpha 64.68
_cell_angle_beta 64.68
_cell_angle_gamma 90.00
loop_
_symmetry_equiv_pos_as_xyz
'x,y,z'
loop_
_atom_site_label
_atom_site_fract_x
_atom_site_fract_y
_atom_site_fract_z
H1 0.500 0.500 0.000
H2 0.250 0.750 0.500
Os1 0.000 0.000 0.000
Os2 0.750 0.250 0.500
Se1 0.163 0.625 0.250
Se2 0.375 0.413 0.750
Se3 0.875 0.837 0.750
Se4 0.587 0.125 0.250
```

## Properties
Symmetry: No. 122
Distance to the lowest polymorph of the same formula (eV/atom): 0.338


Entry 5:
Compound: PrMg2
Source: Alexandria
Functional: PBE-GGA
Structure: optimized geometry

The structure in CIF format:
```
data_PrMg2
_chemical_formula_sum 'Pr2 Mg4'
_symmetry_space_group_name_H-M 'P 1'
_symmetry_Int_Tables_number 1
_cell_length_a 6.159
_cell_length_b 6.159
_cell_length_c 6.159
_cell_angle_alpha 60.00
_cell_angle_beta 60.00
_cell_angle_gamma 60.00
loop_
_symmetry_equiv_pos_as_xyz
'x,y,z'
loop_
_atom_site_label
_atom_site_fract_x
_atom_site_fract_y
_atom_site_fract_z
Pr1 0.250 0.250 0.250
Pr2 0.000 0.000 0.000
Mg1 0.125 0.625 0.625
Mg2 0.625 0.625 0.625
Mg3 0.625 0.125 0.625
Mg4 0.625 0.625 0.125
```

## Properties
Symmetry: No. 227
Calculated formation energy (meV/atom): -115


Entry 6:
Compound: Ca2Cu2W
Source: Alexandria
Functional: PBE-GGA
Structure: optimized geometry

The structure in CIF format:
```
data_Ca2Cu2W
_chemical_formula_sum 'Ca2 Cu2 W1'
_symmetry_space_group_name_H-M 'P 1'
_symmetry_Int_Tables_number 1
_cell_length_a 3.267
_cell_length_b 3.267
_cell_length_c 9.995
_cell_angle_alpha 80.59
_cell_angle_beta 80.59
_cell_angle_gamma 90.00
loop_
_symmetry_equiv_pos_as_xyz
'x,y,z'
loop_
_atom_site_label
_atom_site_fract_x
_atom_site_fract_y
_atom_site_fract_z
Ca1 0.384 0.384 0.232
Ca2 0.616 0.616 0.768
W1 0.000 0.000 0.000
Cu1 0.250 0.750 0.500
Cu2 0.750 0.250 0.500
```

## Properties
Symmetry: No. 139
Calculated formation energy (meV/atom): 602
Distance to the lowest polymorph of the same formula (eV/atom): 0.130


Entry 7:
Compound: Na2Be2Si3O9
Source: Alexandria
Functional: PBE-GGA
Structure: optimized geometry

The structure in CIF format:
```
data_Na2Be2Si3O9
_chemical_formula_sum 'Na8 Be8 Si12 O36'
_symmetry_space_group_name_H-M 'P 1'
_symmetry_Int_Tables_number 1
_cell_length_a 6.898
_cell_length_b 9.516
_cell_length_c 11.886
_cell_angle_alpha 90.00
_cell_angle_beta 90.00
_cell_angle_gamma 90.00
loop_
_symmetry_equiv_pos_as_xyz
'x,y,z'
loop_
_atom_site_label
_atom_site_fract_x
_atom_site_fract_y
_atom_site_fract_z
O1 0.861 0.750 0.526
O2 0.048 0.109 0.040
O3 0.452 0.109 0.540
O4 0.452 0.391 0.540
O5 0.250 0.250 0.193
O6 0.624 0.250 0.137
O7 0.139 0.250 0.474
O8 0.952 0.609 0.960
O9 0.548 0.609 0.460
O10 0.502 0.603 0.687
O11 0.002 0.103 0.813
O12 0.316 0.604 0.052
O13 0.376 0.750 0.863
O14 0.002 0.397 0.813
O15 0.750 0.750 0.807
O16 0.184 0.604 0.552
O17 0.684 0.396 0.948
O18 0.048 0.391 0.040
O19 0.639 0.750 0.026
O20 0.361 0.250 0.974
O21 0.816 0.104 0.448
O22 0.952 0.891 0.960
O23 0.316 0.896 0.052
O24 0.502 0.897 0.687
O25 0.498 0.103 0.313
O26 0.250 0.250 0.693
O27 0.498 0.397 0.313
O28 0.816 0.396 0.448
O29 0.548 0.891 0.460
O30 0.876 0.250 0.637
O31 0.184 0.896 0.552
O32 0.684 0.104 0.948
O33 0.124 0.750 0.363
O34 0.998 0.897 0.187
O35 0.998 0.603 0.187
O36 0.750 0.750 0.307
Si1 0.475 0.250 0.246
Si2 0.327 0.250 0.562
Si3 0.173 0.250 0.062
Si4 0.975 0.750 0.254
Si5 0.827 0.750 0.938
Si6 0.899 0.250 0.497
Si7 0.025 0.250 0.746
Si8 0.525 0.750 0.754
Si9 0.673 0.750 0.438
Si10 0.101 0.750 0.503
Si11 0.399 0.750 0.003
Si12 0.601 0.250 0.997
Na1 0.848 0.968 0.652
Na2 0.152 0.468 0.348
Na3 0.848 0.532 0.652
Na4 0.652 0.532 0.152
Na5 0.152 0.032 0.348
Na6 0.348 0.468 0.848
Na7 0.652 0.968 0.152
Na8 0.348 0.032 0.848
Be1 0.094 0.940 0.069
Be2 0.906 0.060 0.931
Be3 0.594 0.060 0.431
Be4 0.906 0.440 0.931
Be5 0.594 0.440 0.431
Be6 0.406 0.560 0.569
Be7 0.094 0.560 0.069
Be8 0.406 0.940 0.569
```

## Properties
Symmetry: No. 62
Raw formation energy (eV/atom): -2.65


Entry 8:
Compound: Y3HoTm3
Source: Alexandria
Functional: PBE-GGA
Structure: optimized geometry

The structure in CIF format:
```
data_Y3HoTm3
_chemical_formula_sum 'Y6 Ho2 Tm6'
_symmetry_space_group_name_H-M 'P 1'
_symmetry_Int_Tables_number 1
_cell_length_a 6.137
_cell_length_b 6.137
_cell_length_c 14.487
_cell_angle_alpha 77.77
_cell_angle_beta 77.77
_cell_angle_gamma 60.00
loop_
_symmetry_equiv_pos_as_xyz
'x,y,z'
loop_
_atom_site_label
_atom_site_fract_x
_atom_site_fract_y
_atom_site_fract_z
Y1 0.733 0.401 0.799
Y2 0.067 0.733 0.799
Y3 0.599 0.933 0.201
Y4 0.401 0.067 0.799
Y5 0.267 0.599 0.201
Y6 0.933 0.267 0.201
Ho1 0.333 0.333 0.000
Ho2 0.667 0.667 0.000
Tm1 0.465 0.802 0.599
Tm2 0.866 0.535 0.401
Tm3 0.198 0.866 0.401
Tm4 0.535 0.198 0.401
Tm5 0.802 0.134 0.599
Tm6 0.134 0.465 0.599
```

## Properties
Symmetry: No. 148
Calculated formation energy (meV/atom): 142
Distance to the lowest polymorph of the same formula (eV/atom): 0.139


Entry 9:
Compound: SrTcN3
Source: Alexandria
Functional: PBE-GGA
Structure: optimized geometry

The structure in CIF format:
```
data_SrTcN3
_chemical_formula_sum 'Sr4 Tc4 N12'
_symmetry_space_group_name_H-M 'P 1'
_symmetry_Int_Tables_number 1
_cell_length_a 6.384
_cell_length_b 10.316
_cell_length_c 5.500
_cell_angle_alpha 90.00
_cell_angle_beta 90.00
_cell_angle_gamma 90.00
loop_
_symmetry_equiv_pos_as_xyz
'x,y,z'
loop_
_atom_site_label
_atom_site_fract_x
_atom_site_fract_y
_atom_site_fract_z
Sr1 0.500 0.000 0.000
Sr2 0.500 0.500 0.000
Sr3 0.000 0.500 0.500
Sr4 0.000 0.000 0.500
N1 0.852 0.110 0.110
N2 0.648 0.890 0.610
N3 0.852 0.390 0.110
N4 0.648 0.610 0.610
N5 0.352 0.390 0.390
N6 0.352 0.110 0.390
N7 0.941 0.750 0.301
N8 0.148 0.610 0.890
N9 0.559 0.250 0.801
N10 0.148 0.890 0.890
N11 0.059 0.250 0.699
N12 0.441 0.750 0.199
Tc1 0.664 0.750 0.431
Tc2 0.336 0.250 0.569
Tc3 0.164 0.750 0.069
Tc4 0.836 0.250 0.931
```

## Properties
Symmetry: No. 62
Raw formation energy (eV/atom): -0.30


Entry 10:
Compound: CaAc2Pd3
Source: Alexandria
Functional: PBE-GGA
Structure: optimized geometry

The structure in CIF format:
```
data_CaAc2Pd3
_chemical_formula_sum 'Ca4 Ac8 Pd12'
_symmetry_space_group_name_H-M 'P 1'
_symmetry_Int_Tables_number 1
_cell_length_a 4.164
_cell_length_b 7.393
_cell_length_c 21.589
_cell_angle_alpha 90.00
_cell_angle_beta 90.00
_cell_angle_gamma 90.00
loop_
_symmetry_equiv_pos_as_xyz
'x,y,z'
loop_
_atom_site_label
_atom_site_fract_x
_atom_site_fract_y
_atom_site_fract_z
Ac1 0.750 0.928 0.089
Ac2 0.250 0.572 0.589
Ac3 0.250 0.584 0.774
Ac4 0.750 0.416 0.226
Ac5 0.750 0.916 0.274
Ac6 0.750 0.428 0.411
Ac7 0.250 0.084 0.726
Ac8 0.250 0.072 0.911
Ca1 0.250 0.412 0.072
Ca2 0.750 0.588 0.928
Ca3 0.750 0.088 0.572
Ca4 0.250 0.912 0.428
Pd1 0.750 0.243 0.995
Pd2 0.250 0.215 0.321
Pd3 0.750 0.881 0.818
Pd4 0.750 0.381 0.682
Pd5 0.750 0.285 0.821
Pd6 0.250 0.619 0.318
Pd7 0.750 0.785 0.679
Pd8 0.250 0.757 0.005
Pd9 0.750 0.743 0.505
Pd10 0.250 0.257 0.495
Pd11 0.250 0.715 0.179
Pd12 0.250 0.119 0.182
```

## Properties
Symmetry: No. 62
Calculated formation energy (meV/atom): -741
Distance to the lowest polymorph of the same formula (eV/atom): 0.000


Number 1: calculated total energy -2.709 eV/atom, volume 179 Å³/cell, M_tot 0.0 Bohr magnetons per cell. Number 2: calculated total energy -6.329 eV/atom, volume 120 Å³/cell, M_tot 0.0 Bohr magnetons per cell. Number 3: calculated total energy -6.655 eV/atom, volume 335 Å³/cell, M_tot 4.8 Bohr magnetons per cell. Number 4: calculated total energy -4.923 eV/atom, volume 138 Å³/cell, M_tot 0.0 Bohr magnetons per cell. Number 5: calculated total energy -2.771 eV/atom, volume 165 Å³/cell, M_tot 0.0 Bohr magnetons per cell. Number 6: calculated total energy -4.427 eV/atom, volume 104 Å³/cell, M_tot 0.0 Bohr magnetons per cell. Number 7: calculated total energy -7.087 eV/atom, volume 780 Å³/cell, M_tot 0.0 Bohr magnetons per cell. Number 8: calculated total energy -5.198 eV/atom, volume 458 Å³/cell, M_tot 0.0 Bohr magnetons per cell. Number 9: calculated total energy -7.701 eV/atom, volume 362 Å³/cell, M_tot 0.0 Bohr magnetons per cell. Number 10: calculated total energy -5.041 eV/atom, volume 665 Å³/cell, M_tot 0.0 Bohr magnetons per cell.